No. 1
GGA-PBE ScAg3Pt, relaxed; total magnetization = 0.0 μB per cell; density of states at the Fermi level = 6.90 states/eV/f.u.; energy of formation = 1268 meV/atom; relative energy among the computed polymorphs = 661 meV/atom
1.0
4.9292 0.0000 0.0000
0.0000 4.9292 0.0000
0.0000 0.0000 4.9292
Sc Ag Pt
1 3 1
direct
0.0000 0.0000 0.0000
0.0000 0.0000 0.5000
0.0000 0.5000 0.0000
0.5000 0.0000 0.0000
0.5000 0.5000 0.5000

=====

No. 2
GGA-PBE MgPd3Au2, relaxed; total magnetization = 0.0 μB per cell; density of states at the Fermi level = 1.61 states/eV/f.u.; energy of formation = -359 meV/atom; relative energy among the computed polymorphs = 0 meV/atom
1.0
2.1434 -6.4670 0.0000
2.1434 6.4670 0.0000
0.0000 0.0000 7.1250
Mg Pd Au
2 6 4
direct
0.1593 0.8407 0.0000
0.8407 0.1593 0.0000
0.0000 0.0000 0.2508
0.0000 0.0000 0.7492
0.3297 0.6703 0.2361
0.3297 0.6703 0.7639
0.6703 0.3297 0.2361
0.6703 0.3297 0.7639
0.1686 0.8314 0.5000
0.5000 0.5000 0.0000
0.5000 0.5000 0.5000
0.8314 0.1686 0.5000

=====

No. 3
GGA-PBE Na2Pd5PbAu2, relaxed; total magnetization = 0.0 μB per cell; density of states at the Fermi level = 3.80 states/eV/f.u.; energy of formation = -185 meV/atom
1.0
9.4969 0.0000 0.0000
0.0000 9.4969 0.0000
0.0000 0.0000 4.2295
Na Pd Pb Au
4 10 2 4
direct
0.1699 0.3301 0.0000
0.3301 0.8301 0.0000
0.6699 0.1699 0.0000
0.8301 0.6699 0.0000
0.0000 0.5000 0.5000
0.0692 0.8007 0.5000
0.1993 0.0692 0.5000
0.3007 0.5692 0.5000
0.4308 0.3007 0.5000
0.5000 0.0000 0.5000
0.5692 0.6993 0.5000
0.6993 0.4308 0.5000
0.8007 0.9308 0.5000
0.9308 0.1993 0.5000
0.0000 0.0000 0.0000
0.5000 0.5000 0.0000
0.1265 0.6265 0.0000
0.3735 0.1265 0.0000
0.6265 0.8735 0.0000
0.8735 0.3735 0.0000

=====

No. 4
GGA-PBE LaGd2Sn, relaxed; total magnetization = 17.0 μB per cell; density of states at the Fermi level = 5.85 states/eV/f.u.; energy of formation = -281 meV/atom; relative energy among the computed polymorphs = 179 meV/atom
1.0
0.0000 3.8936 3.8936
3.8936 0.0000 3.8936
3.8936 3.8936 0.0000
La Gd Sn
1 2 1
direct
0.0000 0.0000 0.0000
0.2500 0.2500 0.2500
0.7500 0.7500 0.7500
0.5000 0.5000 0.5000

=====

No. 5
GGA-PBE DyY3Ho12, relaxed; total magnetization = 0.0 μB per cell; density of states at the Fermi level = 20.99 states/eV/f.u.; energy of formation = 22 meV/atom
1.0
5.0008 0.0000 0.0000
0.0000 5.0008 0.0000
0.0000 0.0000 19.9845
Dy Y Ho
1 3 12
direct
0.0000 0.0000 0.0000
0.0000 0.0000 0.2496
0.0000 0.0000 0.5000
0.0000 0.0000 0.7504
0.0000 0.5000 0.1243
0.0000 0.5000 0.3748
0.0000 0.5000 0.6252
0.0000 0.5000 0.8757
0.5000 0.0000 0.1243
0.5000 0.0000 0.3748
0.5000 0.0000 0.6252
0.5000 0.0000 0.8757
0.5000 0.5000 0.0000
0.5000 0.5000 0.2496
0.5000 0.5000 0.5000
0.5000 0.5000 0.7504

=====

No. 6
GGA-PBE Mn2BrN, relaxed; total magnetization = 0.0 μB per cell; density of states at the Fermi level = 4.13 states/eV/f.u.; uncorrected formation energy = 0.246 eV per atom; relative energy among the computed polymorphs = 0 meV/atom
1.0
-2.3626 2.3626 4.9525
2.3626 -2.3626 4.9525
2.3626 2.3626 -4.9525
Mn Br N
4 2 2
direct
0.0178 0.6250 0.8928
0.3750 0.2678 0.3928
0.7322 0.1250 0.1072
0.8750 0.9822 0.6072
0.2500 0.7500 0.5000
0.5000 0.5000 0.0000
0.0000 0.0000 0.0000
0.7500 0.2500 0.5000